This record from Alexandria via LeMat-Bulk describes an optimized crystal structure of Nd2Te3MoO12. The functional is GGA+U.

```
Nd2Te3MoO12
1.0
-3.258 -4.285 0.363
7.706 -5.304 6.545
-7.786 7.191 14.994
O Nd Te Mo
48 8 12 4
Cartesian
0.981 -3.434 5.713
0.359 -6.145 6.953
-6.611 2.767 15.005
-3.377 -0.185 8.806
-0.458 -2.240 1.060
1.596 -4.801 9.168
-3.113 -0.198 5.902
2.357 -7.520 8.650
0.073 -4.990 13.450
-1.840 -4.420 8.851
-2.223 -0.825 14.304
0.040 -2.213 13.097
-1.115 -1.573 7.599
-4.933 2.403 12.735
-2.997 -2.126 16.744
-5.695 5.122 13.253
5.463 -3.796 5.429
0.879 0.402 14.228
-5.843 1.261 9.244
-3.411 2.592 8.453
-2.879 -0.158 20.843
-2.039 0.675 17.885
-0.340 -0.272 5.159
-3.696 3.747 14.950
-5.857 -0.353 11.589
-8.800 1.398 16.474
3.274 -5.165 6.898
-1.972 -3.583 11.713
2.506 -3.659 12.659
-3.033 -3.759 1.867
2.520 -2.045 10.314
-3.119 3.298 17.645
-3.029 -0.677 11.634
-4.318 1.036 16.190
-0.703 -1.452 19.260
-1.298 -3.073 4.018
-2.634 -0.946 2.643
-1.498 2.022 13.052
-0.224 -2.200 16.001
1.587 -3.648 2.798
-1.365 1.185 10.190
-4.217 -2.800 7.675
-0.218 -5.696 4.258
-0.308 -1.721 10.269
1.775 -6.908 11.921
-4.924 1.250 19.105
-0.304 1.360 20.036
-5.112 4.510 9.982
-6.469 1.315 17.102
-5.278 -0.499 7.348
-2.615 -2.332 9.610
5.795 -5.546 7.062
3.132 -3.713 4.801
-0.722 -0.066 12.293
1.941 -1.899 14.555
-9.132 3.147 14.840
-0.080 -3.774 11.973
-3.258 1.376 9.930
3.550 -3.619 11.040
-2.679 1.888 16.407
-6.888 1.221 10.863
-0.658 -4.286 5.496
-4.400 -0.492 12.976
1.062 -1.906 8.927
-3.146 -2.573 3.383
0.870 -1.911 2.406
-4.207 -0.487 19.497
-0.192 0.175 18.520
1.919 -5.935 7.868
-1.410 -0.120 6.543
-5.257 3.537 14.035
-1.927 -2.278 15.360
```

## Properties
M_tot (Bohr magnetons per cell): 0.000
Raw total energy (eV/atom): -6.67